1.
## AcSnH6Rh3 (PBE)

Data for crystalline AcSnH6Rh3 at its relaxed geometry.

```
11
Lattice="5.106 0.103 -0.104 0.134 5.105 0.104 -0.134 0.135 5.105" Properties=species:S:1:pos:R:3 pbc="T T T"
Ac 2.988 2.235 2.992
Sn 4.969 0.241 4.998
H 1.902 2.620 0.485
H 2.609 4.736 1.889
H 0.510 1.567 2.474
H 3.671 2.738 0.515
H 2.480 4.716 3.657
H 0.489 3.336 2.591
Rh 2.691 4.200 0.245
Rh 0.254 2.548 1.011
Rh 1.025 4.980 2.667
```

2.
## Ac2Sn2H4Rh (PBE)

Data for crystalline Ac2Sn2H4Rh at its relaxed geometry.

```
9
Lattice="-0.798 4.997 3.492 3.445 -4.499 2.388 3.330 0.728 -5.117" Properties=species:S:1:pos:R:3 pbc="T T T"
Ac 3.017 -0.693 2.258
Ac 2.960 1.920 -1.495
Sn 4.530 -2.521 -1.825
Sn 2.245 -1.249 -0.905
H 3.424 -3.525 0.989
H 5.012 0.067 -0.030
H 3.351 -0.246 -3.719
H 0.965 1.160 0.793
Rh 0.000 0.000 0.000
```

3.
## Sr2AcH8Rh (PBE)

Data for crystalline Sr2AcH8Rh at its relaxed geometry.

```
12
Lattice="-4.895 -1.386 -0.485 3.268 -3.007 2.528 -1.578 3.432 6.122" Properties=species:S:1:pos:R:3 pbc="T T T"
Sr -2.395 -1.444 1.379
Sr -0.810 0.484 6.787
Ac -0.789 1.716 3.061
H -3.209 -0.367 6.510
H -2.328 2.013 5.403
H -4.979 1.262 5.140
H 0.004 -0.594 1.655
H -0.877 -2.973 2.762
H 1.775 -2.223 3.025
H -2.916 -0.312 3.400
H -0.289 -0.649 4.766
Rh 0.000 0.000 0.000
```

4.
## AcTbH6Rh2 (PBE)

Data for crystalline AcTbH6Rh2 at its relaxed geometry.

```
20
Lattice="6.245 -0.250 -0.068 -1.013 6.167 -0.068 -1.569 -1.774 6.183" Properties=species:S:1:pos:R:3 pbc="T T T"
Ac -0.314 4.759 1.478
Ac 3.977 -0.616 4.570
Tb 2.919 1.900 1.478
Tb 0.744 2.242 4.570
H 5.075 2.203 0.662
H 2.882 -0.277 2.295
H -1.412 1.939 5.387
H 0.781 4.419 3.753
H 1.208 0.928 0.122
H 3.674 3.718 2.835
H 2.455 3.215 5.927
H -0.011 0.425 3.213
H 0.845 2.519 2.291
H 2.050 3.883 0.666
H 2.818 1.623 3.757
H 1.612 0.260 5.383
Rh 0.719 -1.176 5.032
Rh 4.134 2.686 4.108
Rh 2.944 5.319 1.016
Rh -0.471 1.456 1.940
```

5.
## AcThH6Rh2 (PBE)

Data for crystalline AcThH6Rh2 at its relaxed geometry.

```
10
Lattice="4.846 0.000 0.000 2.423 4.197 0.000 2.423 1.399 6.231" Properties=species:S:1:pos:R:3 pbc="T T T"
Ac 0.000 0.000 0.000
Th 4.846 2.798 3.115
H 3.625 3.503 5.063
H 4.846 1.388 5.063
H 3.625 2.093 1.168
H 6.067 2.093 1.168
H 4.846 4.208 1.168
H 6.067 3.503 5.063
Rh 7.269 4.197 4.016
Rh 2.423 1.399 2.215
```

6.
## Ac2TlH6Rh2 (PBE)

Data for crystalline Ac2TlH6Rh2 at its relaxed geometry.

```
11
Lattice="-4.687 -1.679 -1.311 -3.402 -1.252 3.656 -4.997 5.410 0.828" Properties=species:S:1:pos:R:3 pbc="T T T"
Ac -9.664 1.440 2.377
Ac -3.423 1.038 0.796
Tl 0.000 0.000 0.000
H -7.396 -0.387 1.947
H -5.184 0.405 2.566
H -5.791 0.203 0.222
H -7.296 2.275 2.951
H -7.903 2.074 0.608
H -5.691 2.866 1.226
Rh -7.308 3.362 1.602
Rh -5.779 -0.883 1.571
```

7.
## Ac5Tl2HRh (PBE)

Data for crystalline Ac5Tl2HRh at its relaxed geometry.

```
18
Lattice="-1.591 0.600 3.943 -6.929 -5.938 -4.230 7.253 -11.828 4.724" Properties=species:S:1:pos:R:3 pbc="T T T"
Ac -5.125 -4.126 -1.440
Ac 2.681 -12.307 5.291
Ac -2.187 -14.667 1.348
Ac 0.062 -11.344 1.750
Ac -4.279 -10.869 2.265
Ac 0.558 -7.659 3.728
Ac -1.997 -8.041 0.417
Ac 1.114 -2.816 3.216
Ac -2.559 -3.816 1.886
Ac -0.559 -0.473 -0.154
Tl -0.476 -13.894 4.259
Tl 3.150 -9.780 2.758
Tl 0.552 -5.463 1.053
Tl -5.063 -6.334 1.259
H 4.898 -11.163 6.012
H -3.813 -9.841 -0.041
Rh -1.757 -9.380 3.056
Rh -2.783 -2.449 -0.750
```

8.
## AcTlH6Rh2 (PBE)

Data for crystalline AcTlH6Rh2 at its relaxed geometry.

```
20
Lattice="7.116 -1.249 0.912 -2.111 6.910 0.912 -0.366 -0.414 4.878" Properties=species:S:1:pos:R:3 pbc="T T T"
Ac -0.742 5.515 2.132
Ac 5.382 -0.268 4.571
Tl 3.471 1.791 2.132
Tl 1.169 3.457 4.571
H 6.166 0.783 2.141
H 4.801 -0.762 2.122
H -1.527 4.464 4.561
H -0.161 6.009 4.580
H 0.541 0.588 5.204
H 3.940 4.431 3.937
H 4.099 4.660 1.498
H 0.700 0.816 2.765
H -0.262 3.066 2.705
H 1.748 5.339 1.559
H 4.902 2.181 3.998
H 2.892 -0.092 5.143
Rh 1.920 0.668 4.087
Rh 4.029 3.053 5.054
Rh 2.720 4.580 2.615
Rh 0.611 2.194 1.648
```

In the order shown, the computed E values come out to -4.91 -4.33 -3.87 -4.93 -5.11 -4.42 -4.41 -4.42 eV/atom.
In the order shown, the computed calculated volume values come out to 12.08 19.10 13.56 11.75 12.67 14.17 34.36 11.66 Å³/atom.